A plane-wave DFT calculation with PBE-GGA was carried out for crystalline Hf3InB at its relaxed geometry.

Results
E_form in meV/atom: -151
Total moment in μB/f.u.: 0.00

Lattice parameters (Å, degrees): 11.0102 14.0436 4.9719 90.00 95.88 90.00
Space group C2/c (No. 15)
Inequivalent atoms, fractional coordinates:
Hf  0.1040  0.0716  0.0359 x8
Hf  0.1778  0.4197  0.2936 x8
Hf  0.1854  0.2675  0.7379 x8
In  0.0000  0.2522  0.2500 x4
In  0.0000  0.4201  0.7500 x4
B  0.1192  0.1035  0.5408 x8